First-principles (PBEsol) data for a geometry-optimized Cd4Hg structure, as listed in Alexandria via LeMat-Bulk.

```
20
Lattice="8.4607 0.0000 0.0000 -2.8202 7.9768 0.0000 -2.8202 -3.9884 6.9081" Properties=species:S:1:pos:R:3 pbc="T T T"
Cd -0.9388 2.6554 0.0000
Cd 2.8164 0.0000 0.0000
Cd -0.9388 -1.3277 2.2996
Cd 1.8814 2.6607 4.6085
Cd 3.6978 -2.6147 4.5288
Cd 1.9427 -1.3737 2.3793
Cd -1.9427 1.3737 2.3793
Cd -3.6978 2.6147 4.5288
Cd 1.9427 2.7474 0.0000
Cd 3.6978 5.2294 0.0000
Cd 4.2303 2.9913 1.7270
Cd -1.4101 0.9971 5.1811
Cd 1.4101 4.9855 1.7270
Cd 1.4101 -0.9971 5.1811
Cd 4.2303 0.0000 3.4541
Cd -1.4101 3.9884 3.4541
Hg -1.8824 5.3243 0.0000
Hg 5.6473 0.0000 0.0000
Hg -1.8824 -2.6621 4.6110
Hg 0.9378 1.3263 2.2971
```

Summary:
energy relative to the elements: 0.0958 eV/atom
energy above the lowest structure with this stoichiometry: 94 meV/atom
magnetic moment: 0.000 μB/atom
electronic total energy: -0.975 eV/atom